First-principles (PBE-GGA) data for a relaxed CuN crystal, as listed in the Alexandria database.

Unit cell a=2.9463 b=2.9463 c=6.1193 alpha=78.13 beta=78.13 gamma=57.40
With the nearest neighbours (Å) after each atom.
Fractional coordinates of all 4 atoms:
1 N 0.0275 0.0275 0.9005  1 N 1.18
2 N 0.9725 0.9725 0.0995  1 N 1.18
3 Cu 0.3823 0.3823 0.3384  2 N 2.01
4 Cu 0.6177 0.6177 0.6616  2 N 2.01

theoretical density = 5.9 Mg/m³
ΔE to the lowest computed polymorph = 0 meV per atom
energy relative to the elements, uncorrected = 377.4 meV/atom
E_tot = -5.833 eV/atom

=====

First-principles (PBE-GGA) data for a relaxed RbMnNi crystal, as listed in the Alexandria database.

Unit cell a=7.4700 b=4.2200 c=12.1972 alpha=90.00 beta=90.00 gamma=90.00
With the nearest neighbours (Å) after each atom.
Fractional coordinates of all 12 atoms:
1 Ni 0.1898 0.7500 0.9394  3 Mn 2.34-2.38
2 Ni 0.8102 0.2500 0.0606  3 Mn 2.34-2.38
3 Ni 0.3102 0.2500 0.4394  3 Mn 2.34-2.38
4 Ni 0.6898 0.7500 0.5606  3 Mn 2.34-2.38
5 Mn 0.4566 0.7500 0.4331  3 Ni 2.34-2.38
6 Mn 0.9566 0.7500 0.0669  3 Ni 2.34-2.38
7 Mn 0.0434 0.2500 0.9331  3 Ni 2.34-2.38
8 Mn 0.5434 0.2500 0.5669  3 Ni 2.34-2.38
9 Rb 0.1259 0.7500 0.6556  4 Ni 3.46-3.65, 1 Mn 3.67
10 Rb 0.6259 0.7500 0.8444  4 Ni 3.46-3.65, 1 Mn 3.67
11 Rb 0.3741 0.2500 0.1556  4 Ni 3.46-3.65, 1 Mn 3.67
12 Rb 0.8741 0.2500 0.3444  4 Ni 3.46-3.65, 1 Mn 3.67

theoretical density = 3.4 Mg/m³
ΔE to the lowest computed polymorph = 298 meV per atom
formation enthalpy at 0 K = 0.702 eV/atom
E_tot = -4.604 eV/atom

=====

First-principles (PBE-GGA) data for a relaxed Ti2CoPI crystal, as listed in the Alexandria database.

Unit cell a=4.9875 b=4.4185 c=4.9875 alpha=90.00 beta=90.00 gamma=90.00
With the nearest neighbours (Å) after each atom.
Fractional coordinates of all 5 atoms:
1 Co 0.0000 0.5000 0.0000  2 I 2.21
2 Ti 0.5000 0.0000 0.0000  2 I 2.49
3 Ti 0.0000 0.0000 0.5000  2 I 2.49
4 I 0.0000 0.0000 0.0000  2 Co 2.21
5 P 0.5000 0.5000 0.5000  8 Ti 3.33, 4 Co 3.53

theoretical density = 4.7 Mg/m³
energy relative to the elements, uncorrected = 1179.9 meV/atom
E_tot = -4.791 eV/atom

=====

First-principles (PBE-GGA) data for a relaxed Pa2CSe crystal, as listed in the Alexandria database.

Unit cell a=3.6590 b=3.6590 c=7.1814 alpha=75.24 beta=75.24 gamma=60.00
With the nearest neighbours (Å) after each atom.
Fractional coordinates of all 4 atoms:
1 C 0.0000 0.0000 0.0000  6 Pa 2.53
2 Se 0.5000 0.5000 0.5000  6 Pa 2.94
3 Pa 0.7341 0.7341 0.7978  3 C 2.53
4 Pa 0.2659 0.2659 0.2022  3 C 2.53

theoretical density = 11.5 Mg/m³
ΔE to the lowest computed polymorph = 0 meV per atom
energy relative to the elements, uncorrected = -919.1 meV/atom
E_tot = -8.844 eV/atom

=====

First-principles (PBE-GGA) data for a relaxed Pr6ZnFe2 crystal, as listed in the Alexandria database.

Unit cell a=8.6897 b=8.6897 c=8.6897 alpha=107.26 beta=109.79 gamma=111.40
With the nearest neighbours (Å) after each atom.
Fractional coordinates of all 18 atoms:
1 Pr 0.2057 0.2252 0.4310  1 Fe 2.94, 1 Zn 3.10
2 Pr 0.8978 0.7142 0.1837  2 Fe 3.00, 1 Zn 3.35
3 Pr 0.2950 0.9793 0.6844  3 Fe 2.94-2.99
4 Pr 0.7943 0.7748 0.5690  1 Fe 2.94, 1 Zn 3.10
5 Pr 0.7943 0.2252 0.0195  1 Fe 2.94, 1 Zn 3.10
6 Pr 0.2950 0.6106 0.3156  3 Fe 2.94-2.99
7 Pr 0.2057 0.7748 0.9805  1 Fe 2.94, 1 Zn 3.10
8 Pr 0.7050 0.0207 0.3156  3 Fe 2.94-2.99
9 Pr 0.1022 0.2858 0.8163  2 Fe 3.00, 1 Zn 3.35
10 Pr 0.4695 0.2858 0.1837  2 Fe 3.00, 1 Zn 3.35
11 Pr 0.5305 0.7142 0.8163  2 Fe 3.00, 1 Zn 3.35
12 Pr 0.7050 0.3894 0.6844  3 Fe 2.94-2.99
13 Fe 0.5000 0.6066 0.1066  1 Fe 2.20
14 Fe 0.3863 0.0000 0.3863  1 Fe 2.27
15 Fe 0.6137 0.0000 0.6137  1 Fe 2.27
16 Fe 0.5000 0.3934 0.8934  1 Fe 2.20
17 Zn 0.0000 0.5000 0.5000  12 Pr 3.46-3.79
18 Zn 0.0000 0.0000 0.0000  8 Pr 3.10-3.35

theoretical density = 6.7 Mg/m³
formation enthalpy at 0 K = 0.014 eV/atom
E_tot = -5.195 eV/atom

=====

First-principles (PBE-GGA) data for a relaxed AgTeOs crystal, as listed in the Alexandria database.

Unit cell a=3.9558 b=6.2797 c=6.2878 alpha=103.44 beta=108.20 gamma=108.28
With the nearest neighbours (Å) after each atom.
Fractional coordinates of all 6 atoms:
1 Os 0.1469 0.5571 0.7264  2 Os 2.44, 2 Te 2.61-2.69
2 Os 0.6470 0.4131 0.8709  2 Os 2.44, 2 Te 2.61-2.69
3 Ag 0.9741 0.9277 0.0204  3 Os 2.86-3.01, 2 Ag 2.92, 4 Te 2.93-3.20
4 Ag 0.4752 0.7115 0.2393  3 Os 2.86-3.02, 2 Ag 2.92, 2 Te 2.93
5 Te 0.2816 0.9535 0.6114  2 Os 2.61-2.69
6 Te 0.7828 0.2985 0.2672  2 Os 2.61-2.69

theoretical density = 10.8 Mg/m³
ΔE to the lowest computed polymorph = 0 meV per atom
energy relative to the elements, uncorrected = 421.4 meV/atom
E_tot = -5.320 eV/atom

=====

First-principles (PBE-GGA) data for a relaxed Ba6BiS2I3 crystal, as listed in the Alexandria database.

Unit cell a=8.3001 b=8.3001 c=8.7293 alpha=99.16 beta=99.16 gamma=119.96
With the nearest neighbours (Å) after each atom.
Fractional coordinates of all 12 atoms:
1 I 0.8396 0.1604 0.5000  6 Ba 3.59-3.72
2 I 0.5000 0.5000 0.5000  6 Ba 3.55-3.71
3 I 0.1604 0.8396 0.5000  6 Ba 3.59-3.72
4 Ba 0.5768 0.9289 0.7874  2 S 3.21-3.22, 1 Bi 3.41, 1 I 3.59
5 Ba 0.7177 0.7177 0.2100  2 S 3.21, 1 Bi 3.40, 1 I 3.55
6 Ba 0.4232 0.0711 0.2126  2 S 3.21-3.22, 1 Bi 3.41, 1 I 3.59
7 Ba 0.9289 0.5768 0.7874  2 S 3.21-3.22, 1 Bi 3.41, 1 I 3.59
8 Ba 0.2823 0.2823 0.7900  2 S 3.21, 1 Bi 3.40, 1 I 3.55
9 Ba 0.0711 0.4232 0.2126  2 S 3.21-3.22, 1 Bi 3.41, 1 I 3.59
10 Bi 0.0000 0.0000 0.0000  6 Ba 3.40-3.41
11 S 0.3328 0.6672 0.0000  6 Ba 3.21-3.22
12 S 0.6672 0.3328 0.0000  6 Ba 3.21-3.22

theoretical density = 5.0 Mg/m³
energy relative to the elements, uncorrected = -1578.9 meV/atom
E_tot = -3.939 eV/atom

=====

First-principles (PBE-GGA) data for a relaxed Cs3PtSe crystal, as listed in the Alexandria database.

Unit cell a=6.2570 b=6.2570 c=6.2570 alpha=90.00 beta=90.00 gamma=90.00
With the nearest neighbours (Å) after each atom.
Fractional coordinates of all 5 atoms:
1 Se 0.5000 0.5000 0.5000  12 Cs 4.42
2 Cs 0.0000 0.5000 0.0000  2 Pt 3.13
3 Cs 0.0000 0.0000 0.5000  2 Pt 3.13
4 Cs 0.5000 0.0000 0.0000  2 Pt 3.13
5 Pt 0.0000 0.0000 0.0000  6 Cs 3.13

theoretical density = 4.6 Mg/m³
ΔE to the lowest computed polymorph = 0 meV per atom
energy relative to the elements, uncorrected = -196.4 meV/atom
E_tot = -2.614 eV/atom